## A
Density functional theory data (GGA-PBE) for a geometry-optimized VFe3Pd structure.

```
data_VFe3Pd
_space_group_name_H-M_alt 'P m -3 m'
_space_group_IT_number 221
_space_group_name_Hall '-P 4 2 3'
_cell_length_a 4.217
_cell_length_b 4.217
_cell_length_c 4.217
_cell_angle_alpha 90.00
_cell_angle_beta 90.00
_cell_angle_gamma 90.00
loop_
_atom_site_label
_atom_site_fract_x
_atom_site_fract_y
_atom_site_fract_z
V1 0.000 0.000 0.000
Fe1 0.000 0.000 0.500
Pd1 0.500 0.500 0.500
```

Theoretical density, g cm⁻³: 7.192



## B
Density functional theory data (GGA-PBE) for a geometry-optimized VFe3Pd structure.

```
data_VFe3Pd
_space_group_name_H-M_alt 'P m -3 m'
_space_group_IT_number 221
_space_group_name_Hall '-P 4 2 3'
_cell_length_a 4.598
_cell_length_b 4.598
_cell_length_c 4.598
_cell_angle_alpha 90.00
_cell_angle_beta 90.00
_cell_angle_gamma 90.00
loop_
_atom_site_label
_atom_site_fract_x
_atom_site_fract_y
_atom_site_fract_z
V1 0.000 0.000 0.000
Fe1 0.000 0.500 0.500
Pd1 0.500 0.500 0.500
```

Theoretical density, g cm⁻³: 5.548



What should be chosen as the least stable of them? Choose B.



## A
Density functional theory data (GGA-PBE) for a geometry-optimized VFePd3 structure.

```
data_VFePd3
_space_group_name_H-M_alt 'P m -3 m'
_space_group_IT_number 221
_space_group_name_Hall '-P 4 2 3'
_cell_length_a 4.567
_cell_length_b 4.567
_cell_length_c 4.567
_cell_angle_alpha 90.00
_cell_angle_beta 90.00
_cell_angle_gamma 90.00
loop_
_atom_site_label
_atom_site_fract_x
_atom_site_fract_y
_atom_site_fract_z
V1 0.000 0.000 0.000
Fe1 0.500 0.500 0.500
Pd1 0.000 0.500 0.500
```

Theoretical density, g cm⁻³: 7.427



## B
Density functional theory data (GGA-PBE) for a geometry-optimized VFePd3 structure.

```
data_VFePd3
_space_group_name_H-M_alt 'P m -3 m'
_space_group_IT_number 221
_space_group_name_Hall '-P 4 2 3'
_cell_length_a 4.563
_cell_length_b 4.563
_cell_length_c 4.563
_cell_angle_alpha 90.00
_cell_angle_beta 90.00
_cell_angle_gamma 90.00
loop_
_atom_site_label
_atom_site_fract_x
_atom_site_fract_y
_atom_site_fract_z
V1 0.000 0.000 0.000
Fe1 0.500 0.500 0.500
Pd1 0.000 0.000 0.500
```

Theoretical density, g cm⁻³: 7.448



## C
Density functional theory data (GGA-PBE) for a geometry-optimized VFePd3 structure.

```
data_VFePd3
_space_group_name_H-M_alt 'C m c m'
_space_group_IT_number 63
_space_group_name_Hall '-C 2c 2'
_cell_length_a 5.217
_cell_length_b 12.740
_cell_length_c 4.902
_cell_angle_alpha 90.00
_cell_angle_beta 90.00
_cell_angle_gamma 90.00
loop_
_atom_site_label
_atom_site_fract_x
_atom_site_fract_y
_atom_site_fract_z
V1 0.000 0.174 0.250
Fe1 0.000 0.471 0.750
Pd1 0.000 0.000 0.000
Pd2 0.249 0.167 0.750
```

Theoretical density, g cm⁻³: 8.686



What should be chosen as the least stable of them? Choose B.



## A
Density functional theory data (GGA-PBE) for a geometry-optimized VFePd structure.

```
data_VFePd
_space_group_name_H-M_alt 'P -6 m 2'
_space_group_IT_number 187
_space_group_name_Hall 'P -6 2'
_cell_length_a 4.1947
_cell_length_b 4.1947
_cell_length_c 2.6279
_cell_angle_alpha 90.00
_cell_angle_beta 90.00
_cell_angle_gamma 120.00
loop_
_atom_site_label
_atom_site_fract_x
_atom_site_fract_y
_atom_site_fract_z
V1 0.0000 0.0000 0.0000
Fe1 0.3333 0.6667 0.0000
Pd1 0.6667 0.3333 0.5000
```

Theoretical density, g cm⁻³: 8.841



## B
Density functional theory data (GGA-PBE) for a geometry-optimized VFePd structure.

```
data_VFePd
_space_group_name_H-M_alt 'R -3 m'
_space_group_IT_number 166
_space_group_name_Hall '-R 3 2"'
_cell_length_a 4.0548
_cell_length_b 4.0548
_cell_length_c 18.1114
_cell_angle_alpha 90.00
_cell_angle_beta 90.00
_cell_angle_gamma 120.00
loop_
_atom_site_label
_atom_site_fract_x
_atom_site_fract_y
_atom_site_fract_z
V1 0.0000 0.0000 0.0638
Fe1 0.0000 0.0000 0.3597
Pd1 0.0000 0.0000 0.2094
```

Theoretical density, g cm⁻³: 8.237



## C
Density functional theory data (GGA-PBE) for a geometry-optimized VFePd structure.

```
data_VFePd
_space_group_name_H-M_alt 'C 1 2/m 1'
_space_group_IT_number 12
_space_group_name_Hall '-C 2y'
_cell_length_a 5.355
_cell_length_b 5.298
_cell_length_c 6.061
_cell_angle_alpha 90.00
_cell_angle_beta 105.70
_cell_angle_gamma 90.00
loop_
_atom_site_label
_atom_site_fract_x
_atom_site_fract_y
_atom_site_fract_z
V1 0.086 0.000 0.273
Fe1 0.250 0.250 0.000
Pd1 0.105 0.500 0.318
```

Theoretical density, g cm⁻³: 8.555



## D
Density functional theory data (GGA-PBE) for a geometry-optimized VFePd structure.

```
data_VFePd
_space_group_name_H-M_alt 'I 4 m m'
_space_group_IT_number 107
_space_group_name_Hall 'I 4 -2'
_cell_length_a 3.029
_cell_length_b 3.029
_cell_length_c 8.825
_cell_angle_alpha 90.00
_cell_angle_beta 90.00
_cell_angle_gamma 90.00
loop_
_atom_site_label
_atom_site_fract_x
_atom_site_fract_y
_atom_site_fract_z
V1 0.000 0.000 0.000
Fe1 0.000 0.000 0.628
Pd1 0.000 0.000 0.316
```

Theoretical density, g cm⁻³: 8.748



What should be chosen as the least stable of them? Choose B.



## A
Density functional theory data (GGA-PBE) for a geometry-optimized VFePd4 structure.

```
data_VFePd4
_space_group_name_H-M_alt 'C 1 2/m 1'
_space_group_IT_number 12
_space_group_name_Hall '-C 2y'
_cell_length_a 5.271
_cell_length_b 7.326
_cell_length_c 5.331
_cell_angle_alpha 90.00
_cell_angle_beta 118.11
_cell_angle_gamma 90.00
loop_
_atom_site_label
_atom_site_fract_x
_atom_site_fract_y
_atom_site_fract_z
V1 0.000 0.000 0.000
Fe1 0.000 0.500 0.500
Pd1 0.250 0.188 0.749
```

Theoretical density, g cm⁻³: 9.740



## B
Density functional theory data (GGA-PBE) for a geometry-optimized VFePd4 structure.

```
data_VFePd4
_space_group_name_H-M_alt 'P 4/m m m'
_space_group_IT_number 123
_space_group_name_Hall '-P 4 2'
_cell_length_a 2.753
_cell_length_b 2.753
_cell_length_c 11.474
_cell_angle_alpha 90.00
_cell_angle_beta 90.00
_cell_angle_gamma 90.00
loop_
_atom_site_label
_atom_site_fract_x
_atom_site_fract_y
_atom_site_fract_z
V1 0.000 0.000 0.000
Fe1 0.500 0.500 0.500
Pd1 0.000 0.000 0.343
Pd2 0.500 0.500 0.159
```

Theoretical density, g cm⁻³: 10.164



What should be chosen as the least stable of them? Choose A.



## A
Density functional theory data (GGA-PBE) for a geometry-optimized VFe6Pd12 structure.

```
data_VFe6Pd12
_space_group_name_H-M_alt 'R -3'
_space_group_IT_number 148
_space_group_name_Hall '-R 3'
_cell_length_a 11.9116
_cell_length_b 11.9116
_cell_length_c 6.6774
_cell_angle_alpha 90.00
_cell_angle_beta 90.00
_cell_angle_gamma 120.00
loop_
_atom_site_label
_atom_site_fract_x
_atom_site_fract_y
_atom_site_fract_z
V1 0.0000 0.0000 0.0000
Fe1 0.0313 0.7506 0.3324
Pd1 0.0101 0.8711 0.6659
Pd2 0.0677 0.5096 0.6722
```

Theoretical density, g cm⁻³: 10.097



## B
Density functional theory data (GGA-PBE) for a geometry-optimized VFe6Pd12 structure.

```
data_VFe6Pd12
_space_group_name_H-M_alt 'R -3'
_space_group_IT_number 148
_space_group_name_Hall '-R 3'
_cell_length_a 9.1370
_cell_length_b 9.1370
_cell_length_c 11.5822
_cell_angle_alpha 90.00
_cell_angle_beta 90.00
_cell_angle_gamma 120.00
loop_
_atom_site_label
_atom_site_fract_x
_atom_site_fract_y
_atom_site_fract_z
V1 0.0000 0.0000 0.0000
Fe1 0.0308 0.5930 0.7047
Pd1 0.0282 0.8421 0.8187
Pd2 0.0571 0.2135 0.4111
```

Theoretical density, g cm⁻³: 9.893



What should be chosen as the least stable of them? Choose B.



## A
Density functional theory data (GGA-PBE) for a geometry-optimized FePd3W structure.

```
data_FePd3W
_space_group_name_H-M_alt 'P m -3 m'
_space_group_IT_number 221
_space_group_name_Hall '-P 4 2 3'
_cell_length_a 4.451
_cell_length_b 4.451
_cell_length_c 4.451
_cell_angle_alpha 90.00
_cell_angle_beta 90.00
_cell_angle_gamma 90.00
loop_
_atom_site_label
_atom_site_fract_x
_atom_site_fract_y
_atom_site_fract_z
Fe1 0.000 0.000 0.000
Pd1 0.000 0.000 0.500
W1 0.500 0.500 0.500
```

Theoretical density, g cm⁻³: 10.525



## B
Density functional theory data (GGA-PBE) for a geometry-optimized FePd3W structure.

```
data_FePd3W
_space_group_name_H-M_alt 'P m -3 m'
_space_group_IT_number 221
_space_group_name_Hall '-P 4 2 3'
_cell_length_a 4.785
_cell_length_b 4.785
_cell_length_c 4.785
_cell_angle_alpha 90.00
_cell_angle_beta 90.00
_cell_angle_gamma 90.00
loop_
_atom_site_label
_atom_site_fract_x
_atom_site_fract_y
_atom_site_fract_z
Fe1 0.000 0.000 0.000
Pd1 0.000 0.500 0.500
W1 0.500 0.500 0.500
```

Theoretical density, g cm⁻³: 8.474



What should be chosen as the least stable of them? Choose A.



## A
Density functional theory data (GGA-PBE) for a geometry-optimized FePdW structure.

```
data_FePdW
_space_group_name_H-M_alt 'C 1 2/m 1'
_space_group_IT_number 12
_space_group_name_Hall '-C 2y'
_cell_length_a 7.288
_cell_length_b 4.215
_cell_length_c 6.320
_cell_angle_alpha 90.00
_cell_angle_beta 112.54
_cell_angle_gamma 90.00
loop_
_atom_site_label
_atom_site_fract_x
_atom_site_fract_y
_atom_site_fract_z
Fe1 0.064 0.000 0.193
Pd1 0.210 0.000 0.628
W1 0.130 0.500 0.888
```

Theoretical density, g cm⁻³: 12.822



## B
Density functional theory data (GGA-PBE) for a geometry-optimized FePdW structure.

```
data_FePdW
_space_group_name_H-M_alt 'I 4 m m'
_space_group_IT_number 107
_space_group_name_Hall 'I 4 -2'
_cell_length_a 2.703
_cell_length_b 2.703
_cell_length_c 11.849
_cell_angle_alpha 90.00
_cell_angle_beta 90.00
_cell_angle_gamma 90.00
loop_
_atom_site_label
_atom_site_fract_x
_atom_site_fract_y
_atom_site_fract_z
Fe1 0.000 0.000 0.000
Pd1 0.000 0.000 0.661
W1 0.000 0.000 0.335
```

Theoretical density, g cm⁻³: 13.273



What should be chosen as the least stable of them? Choose A.



## A
Density functional theory data (GGA-PBE) for a geometry-optimized FePdW2 structure.

```
data_FePdW2
_space_group_name_H-M_alt 'F m -3 m'
_space_group_IT_number 225
_space_group_name_Hall '-F 4 2 3'
_cell_length_a 6.201
_cell_length_b 6.201
_cell_length_c 6.201
_cell_angle_alpha 90.00
_cell_angle_beta 90.00
_cell_angle_gamma 90.00
loop_
_atom_site_label
_atom_site_fract_x
_atom_site_fract_y
_atom_site_fract_z
Fe1 0.000 0.000 0.000
Pd1 0.000 0.000 0.500
W1 0.250 0.250 0.250
```

Theoretical density, g cm⁻³: 14.762



## B
Density functional theory data (GGA-PBE) for a geometry-optimized FePdW2 structure.

```
data_FePdW2
_space_group_name_H-M_alt 'I -4 2 d'
_space_group_IT_number 122
_space_group_name_Hall 'I -4 2bw'
_cell_length_a 3.791
_cell_length_b 3.791
_cell_length_c 17.769
_cell_angle_alpha 90.00
_cell_angle_beta 90.00
_cell_angle_gamma 90.00
loop_
_atom_site_label
_atom_site_fract_x
_atom_site_fract_y
_atom_site_fract_z
Fe1 0.000 0.000 0.000
Pd1 0.000 0.000 0.500
W1 0.230 0.250 0.125
```

Theoretical density, g cm⁻³: 13.787



What should be chosen as the least stable of them? Choose B.



## A
Density functional theory data (GGA-PBE) for a geometry-optimized YFe2Pd2 structure.

```
data_YFe2Pd2
_space_group_name_H-M_alt 'I 4/m m m'
_space_group_IT_number 139
_space_group_name_Hall '-I 4 2'
_cell_length_a 4.068
_cell_length_b 4.068
_cell_length_c 10.481
_cell_angle_alpha 90.00
_cell_angle_beta 90.00
_cell_angle_gamma 90.00
loop_
_atom_site_label
_atom_site_fract_x
_atom_site_fract_y
_atom_site_fract_z
Y1 0.000 0.000 0.000
Fe1 0.000 0.000 0.395
Pd1 0.000 0.500 0.250
```

Theoretical density, g cm⁻³: 7.918



## B
Density functional theory data (GGA-PBE) for a geometry-optimized YFe2Pd2 structure.

```
data_YFe2Pd2
_space_group_name_H-M_alt 'P 4/m b m'
_space_group_IT_number 127
_space_group_name_Hall '-P 4 2ab'
_cell_length_a 7.517
_cell_length_b 7.517
_cell_length_c 2.921
_cell_angle_alpha 90.00
_cell_angle_beta 90.00
_cell_angle_gamma 90.00
loop_
_atom_site_label
_atom_site_fract_x
_atom_site_fract_y
_atom_site_fract_z
Y1 0.000 0.000 0.000
Fe1 0.111 0.389 0.000
Pd1 0.181 0.681 0.500
```

Theoretical density, g cm⁻³: 8.319



What should be chosen as the least stable of them? Choose B.



## A
Density functional theory data (GGA-PBE) for a geometry-optimized Zn2FePd8 structure.

```
data_Zn2FePd8
_space_group_name_H-M_alt 'C 1 2/m 1'
_space_group_IT_number 12
_space_group_name_Hall '-C 2y'
_cell_length_a 12.013
_cell_length_b 6.442
_cell_length_c 4.793
_cell_angle_alpha 90.00
_cell_angle_beta 105.65
_cell_angle_gamma 90.00
loop_
_atom_site_label
_atom_site_fract_x
_atom_site_fract_y
_atom_site_fract_z
Zn1 0.134 0.000 0.005
Fe1 0.000 0.000 0.500
Pd1 0.065 0.295 0.279
Pd2 0.146 0.500 0.832
Pd3 0.225 0.000 0.574
```

Theoretical density, g cm⁻³: 9.651



## B
Density functional theory data (GGA-PBE) for a geometry-optimized Zn2FePd8 structure.

```
data_Zn2FePd8
_space_group_name_H-M_alt 'I m m m'
_space_group_IT_number 71
_space_group_name_Hall '-I 2 2'
_cell_length_a 4.103
_cell_length_b 6.887
_cell_length_c 11.877
_cell_angle_alpha 90.00
_cell_angle_beta 90.00
_cell_angle_gamma 90.00
loop_
_atom_site_label
_atom_site_fract_x
_atom_site_fract_y
_atom_site_fract_z
Zn1 0.000 0.000 0.193
Fe1 0.000 0.000 0.500
Pd1 0.000 0.198 0.000
Pd2 0.000 0.278 0.343
Pd3 0.000 0.500 0.146
```

Theoretical density, g cm⁻³: 10.270



What should be chosen as the least stable of them? Choose A.



## A
Density functional theory data (GGA-PBE) for a geometry-optimized ZnFePd4 structure.

```
data_ZnFePd4
_space_group_name_H-M_alt 'P 4/m m m'
_space_group_IT_number 123
_space_group_name_Hall '-P 4 2'
_cell_length_a 2.804
_cell_length_b 2.804
_cell_length_c 11.120
_cell_angle_alpha 90.00
_cell_angle_beta 90.00
_cell_angle_gamma 90.00
loop_
_atom_site_label
_atom_site_fract_x
_atom_site_fract_y
_atom_site_fract_z
Zn1 0.000 0.000 0.000
Fe1 0.500 0.500 0.500
Pd1 0.000 0.000 0.341
Pd2 0.500 0.500 0.157
```

Theoretical density, g cm⁻³: 10.387



## B
Density functional theory data (GGA-PBE) for a geometry-optimized ZnFePd4 structure.

```
data_ZnFePd4
_space_group_name_H-M_alt 'R -3 m'
_space_group_IT_number 166
_space_group_name_Hall '-R 3 2"'
_cell_length_a 4.1442
_cell_length_b 4.1442
_cell_length_c 20.2250
_cell_angle_alpha 90.00
_cell_angle_beta 90.00
_cell_angle_gamma 120.00
loop_
_atom_site_label
_atom_site_fract_x
_atom_site_fract_y
_atom_site_fract_z
Zn1 0.0000 0.0000 0.0000
Fe1 0.0000 0.0000 0.5000
Pd1 0.0000 0.0000 0.1260
Pd2 0.0000 0.0000 0.3761
```

Theoretical density, g cm⁻³: 9.058



What should be chosen as the least stable of them? Choose B.